A plane-wave DFT calculation with PBE was carried out for crystalline TbPm2Nd3 at its relaxed geometry. Values from VASP.

The structure in Quantum ESPRESSO input format:
```
&SYSTEM
  ibrav = 0, nat = 12, ntyp = 3
/
ATOMIC_SPECIES
Tb 158.93 Tb.upf
Pm 145.00 Pm.upf
Nd 144.24 Nd.upf
CELL_PARAMETERS angstrom
-5.670 6.017 3.494
5.670 -6.017 3.494
5.670 6.017 -3.494
ATOMIC_POSITIONS angstrom
Tb 0.000 0.000 0.000
Tb 0.000 0.000 3.494
Pm 8.447 2.404 0.000
Pm 2.777 3.613 0.000
Pm 2.894 2.404 3.494
Pm -2.777 3.613 3.494
Nd 5.670 3.187 -1.747
Nd 5.670 0.000 1.747
Nd 0.000 2.830 1.747
Nd 5.670 3.187 1.747
Nd 0.000 6.017 1.747
Nd 0.000 2.830 5.241
```

Calculated values
- Excess energy over the best structure of this formula in the dataset: 497 meV/atom
- Energy relative to the elements: 549 meV per atom
- Space-group type: Ibam
- Fermi-level density of states: 1.75 states/eV per atom
- Magnetic moment: 0.0 μB/cell
- ρ: 6.14 g/cm³